1.
{"formula": "Pr2Ni3Ge4Ir", "functional": "GGA-PBE", "state": "relaxed", "lattice": [[4.1739, 0.0000, 0.0000], [0.0000, 4.1739, 0.0000], [0.0000, 0.0000, 9.9780]], "species": ["Ni", "Ni", "Ni", "Ge", "Ge", "Ge", "Ge", "Ir", "Pr", "Pr"], "frac_coords": [[0.0000, 0.0000, 0.5000], [0.0000, 0.5000, 0.1221], [0.5000, 0.0000, 0.8779], [0.0000, 0.5000, 0.3632], [0.5000, 0.0000, 0.6368], [0.0000, 0.0000, 0.0000], [0.5000, 0.5000, 0.0000], [0.5000, 0.5000, 0.5000], [0.0000, 0.5000, 0.7570], [0.5000, 0.0000, 0.2430]], "total_energy_ha_per_atom": -0.225, "spacegroup": "No. 115", "formation_energy_ev_per_atom": -0.706}

***

2.
{"formula": "PuNi2Ge4Ir", "functional": "GGA-PBE", "state": "relaxed", "lattice": [[-2.7694, 1.8762, 2.4667], [-3.7873, 0.9153, -1.4467], [-5.0659, -6.8024, 2.9878]], "species": ["Ge", "Ge", "Ge", "Ge", "Pu", "Ir", "Ni", "Ni"], "frac_coords": [[0.8752, 0.8752, 0.3745], [0.3968, 0.3968, 0.8095], [0.6032, 0.6032, 0.1905], [0.1248, 0.1248, 0.6255], [0.0000, 0.0000, 0.0000], [0.5000, 0.5000, 0.5000], [0.7644, 0.7644, 0.7068], [0.2356, 0.2356, 0.2932]], "total_energy_ha_per_atom": -0.253, "spacegroup": "No. 166", "formation_energy_ev_per_atom": -0.222}

***

3.
{"formula": "Pu2Ni4Ge3Ir", "functional": "GGA-PBE", "state": "relaxed", "lattice": [[3.9072, 0.0000, 0.0000], [0.0000, 3.9072, 0.0000], [0.0000, 0.0000, 10.6020]], "species": ["Ge", "Ge", "Ge", "Ni", "Ni", "Ni", "Ni", "Pu", "Pu", "Ir"], "frac_coords": [[0.5000, 0.0000, 0.8723], [0.0000, 0.0000, 0.5000], [0.0000, 0.5000, 0.1277], [0.0000, 0.0000, 0.0000], [0.0000, 0.5000, 0.3490], [0.5000, 0.0000, 0.6510], [0.5000, 0.5000, 0.0000], [0.5000, 0.0000, 0.2580], [0.0000, 0.5000, 0.7420], [0.5000, 0.5000, 0.5000]], "total_energy_ha_per_atom": -0.289, "spacegroup": "No. 115", "formation_energy_ev_per_atom": -0.407}

***

4.
{"formula": "Pu2Ni3Ge4Ir", "functional": "GGA-PBE", "state": "relaxed", "lattice": [[4.1118, 0.0000, 0.0000], [0.0000, 4.1118, 0.0000], [0.0000, 0.0000, 9.8980]], "species": ["Ge", "Ge", "Ge", "Ge", "Ni", "Ni", "Ni", "Pu", "Pu", "Ir"], "frac_coords": [[0.0000, 0.5000, 0.3597], [0.5000, 0.5000, 0.0000], [0.0000, 0.0000, 0.0000], [0.5000, 0.0000, 0.6403], [0.5000, 0.0000, 0.8764], [0.0000, 0.0000, 0.5000], [0.0000, 0.5000, 0.1236], [0.5000, 0.0000, 0.2441], [0.0000, 0.5000, 0.7559], [0.5000, 0.5000, 0.5000]], "total_energy_ha_per_atom": -0.289, "spacegroup": "No. 115", "formation_energy_ev_per_atom": -0.522}

***

5.
{"formula": "Pu2NiGe4Ir3", "functional": "GGA-PBE", "state": "relaxed", "lattice": [[4.2137, 0.0000, 0.0000], [0.0000, 4.2137, 0.0000], [0.0000, 0.0000, 10.1667]], "species": ["Ni", "Ir", "Ir", "Ir", "Pu", "Pu", "Ge", "Ge", "Ge", "Ge"], "frac_coords": [[0.5000, 0.5000, 0.5000], [0.0000, 0.0000, 0.5000], [0.0000, 0.5000, 0.1316], [0.5000, 0.0000, 0.8684], [0.0000, 0.5000, 0.7505], [0.5000, 0.0000, 0.2495], [0.0000, 0.0000, 0.0000], [0.5000, 0.5000, 0.0000], [0.0000, 0.5000, 0.3723], [0.5000, 0.0000, 0.6277]], "total_energy_ha_per_atom": -0.311, "spacegroup": "No. 115", "formation_energy_ev_per_atom": -0.518}

***

6.
{"formula": "ScNiGeIr", "functional": "GGA-PBE", "state": "relaxed", "lattice": [[-4.3299, 0.6160, 0.1577], [-2.1625, -0.6155, 3.7546], [-1.6449, 3.4291, 2.1652]], "species": ["Sc", "Ni", "Ge", "Ir"], "frac_coords": [[0.7500, 0.7500, 0.7500], [0.5000, 0.5000, 0.5000], [0.2500, 0.2500, 0.2500], [0.0000, 0.0000, 0.0000]], "total_energy_ha_per_atom": -0.256, "spacegroup": "No. 216", "formation_energy_ev_per_atom": -0.568}

***

7.
{"formula": "Sm2Ni12Ge3Ir", "functional": "GGA-PBE", "state": "relaxed", "lattice": [[6.1433, -1.3948, -0.9893], [1.8211, 6.0307, -0.9893], [1.8211, 1.0600, 6.0187]], "species": ["Ni", "Ni", "Ni", "Ni", "Ni", "Ni", "Ni", "Ni", "Ni", "Ni", "Ni", "Ni", "Sm", "Sm", "Ge", "Ge", "Ge", "Ir"], "frac_coords": [[0.5971, 0.1240, 0.5971], [0.4029, 0.4029, 0.8760], [0.8038, 0.2874, 0.8038], [0.4029, 0.8760, 0.4029], [0.7126, 0.1962, 0.1962], [0.2874, 0.8038, 0.8038], [0.1240, 0.5971, 0.5971], [0.1962, 0.7126, 0.1962], [0.8760, 0.4029, 0.4029], [0.8038, 0.8038, 0.2874], [0.5971, 0.5971, 0.1240], [0.1962, 0.1962, 0.7126], [0.3097, 0.3097, 0.3097], [0.6903, 0.6903, 0.6903], [0.5000, 0.0000, 0.0000], [0.0000, 0.0000, 0.5000], [0.0000, 0.5000, 0.0000], [0.0000, 0.0000, 0.0000]], "total_energy_ha_per_atom": -0.207, "spacegroup": "No. 166", "formation_energy_ev_per_atom": 0.016}

***

8.
{"formula": "SrNiGe2Ir", "functional": "GGA-PBE", "state": "relaxed", "lattice": [[-0.0248, -2.7063, 3.1475], [-2.6894, -2.3871, -2.0737], [5.5441, -0.1700, -2.8399]], "species": ["Ge", "Ge", "Ir", "Ni", "Sr"], "frac_coords": [[0.3684, 0.3684, 0.7368], [0.6316, 0.6316, 0.2632], [0.7500, 0.2500, 0.5000], [0.2500, 0.7500, 0.5000], [0.0000, 0.0000, 0.0000]], "total_energy_ha_per_atom": -0.208, "spacegroup": "No. 119", "formation_energy_ev_per_atom": -0.545}

***

9.
{"formula": "Sr2NiGe4Ir3", "functional": "GGA-PBE", "state": "relaxed", "lattice": [[-0.0002, 2.7384, -3.3846], [-3.8149, -1.6311, -1.3194], [-4.8597, 6.8698, 5.5584]], "species": ["Ni", "Ge", "Ge", "Ge", "Ge", "Ir", "Ir", "Ir", "Sr", "Sr"], "frac_coords": [[0.5000, 0.5000, 0.5000], [0.0000, 0.0000, 0.0000], [0.5000, 0.5000, 0.0000], [0.5000, 0.0000, 0.6208], [0.0000, 0.5000, 0.3792], [0.0000, 0.5000, 0.1264], [0.5000, 0.0000, 0.8736], [0.0000, 0.0000, 0.5000], [0.0000, 0.5000, 0.7490], [0.5000, 0.0000, 0.2510]], "total_energy_ha_per_atom": -0.219, "spacegroup": "No. 115", "formation_energy_ev_per_atom": -0.549}

***

10.
{"formula": "Sr2NiGe2Ir", "functional": "GGA-PBE", "state": "relaxed", "lattice": [[5.7484, 0.0000, 0.0000], [0.0000, 5.9100, 0.0000], [-2.8742, -2.9550, 8.6834]], "species": ["Sr", "Sr", "Sr", "Sr", "Ni", "Ni", "Ge", "Ge", "Ge", "Ge", "Ir", "Ir"], "frac_coords": [[0.4030, 0.1540, 0.3080], [0.5970, 0.8460, 0.6920], [0.9050, 0.6540, 0.3080], [0.0950, 0.3460, 0.6920], [0.5000, 0.7500, 0.0000], [0.5000, 0.2500, 0.0000], [0.6628, 0.4235, 0.8469], [0.1841, 0.9235, 0.8469], [0.3372, 0.5765, 0.1531], [0.8159, 0.0765, 0.1531], [0.0000, 0.2500, 0.0000], [0.0000, 0.7500, 0.0000]], "total_energy_ha_per_atom": -0.187, "spacegroup": "No. 72", "formation_energy_ev_per_atom": -0.539}

***

11.
{"formula": "Ta2Ni7Ge2Ir", "functional": "GGA-PBE", "state": "relaxed", "lattice": [[-2.8457, 1.6447, 0.7746], [-0.2030, -1.7170, 2.9007], [6.2260, 10.2969, 8.5421]], "species": ["Ni", "Ni", "Ni", "Ni", "Ni", "Ni", "Ni", "Ge", "Ge", "Ta", "Ta", "Ir"], "frac_coords": [[0.5705, 0.0705, 0.8641], [0.4295, 0.9295, 0.1359], [0.0705, 0.5705, 0.8641], [0.2742, 0.2742, 0.4516], [0.5000, 0.5000, 0.0000], [0.9295, 0.4295, 0.1359], [0.7258, 0.7258, 0.5484], [0.8072, 0.8072, 0.3829], [0.1928, 0.1928, 0.6171], [0.6368, 0.6368, 0.7337], [0.3632, 0.3632, 0.2663], [0.0000, 0.0000, 0.0000]], "total_energy_ha_per_atom": -0.250, "spacegroup": "No. 12", "formation_energy_ev_per_atom": 0.047}

***

12.
{"formula": "Tb2NiGe3Ir4", "functional": "GGA-PBE", "state": "relaxed", "lattice": [[-2.1843, 0.9955, 3.3727], [-1.8570, -3.6982, -0.1111], [7.4676, -3.9299, 5.9962]], "species": ["Ge", "Ge", "Ge", "Tb", "Tb", "Ir", "Ir", "Ir", "Ir", "Ni"], "frac_coords": [[0.0000, 0.5000, 0.1330], [0.5000, 0.0000, 0.8670], [0.0000, 0.0000, 0.5000], [0.5000, 0.0000, 0.2522], [0.0000, 0.5000, 0.7478], [0.5000, 0.5000, 0.0000], [0.0000, 0.5000, 0.3667], [0.0000, 0.0000, 0.0000], [0.5000, 0.0000, 0.6333], [0.5000, 0.5000, 0.5000]], "total_energy_ha_per_atom": -0.262, "spacegroup": "No. 115", "formation_energy_ev_per_atom": -0.696}

***

| no. | spin magnetization (μB per formula unit) |
| --- | --- |
| 1 | 0.0 |
| 2 | 5.5 |
| 3 | 10.3 |
| 4 | 10.9 |
| 5 | 10.7 |
| 6 | 0.0 |
| 7 | 0.0 |
| 8 | 0.0 |
| 9 | 0.0 |
| 10 | 0.0 |
| 11 | 1.2 |
| 12 | 0.0 |